Computed, not measured: crystalline K4YCr at its relaxed geometry at the PBE level of DFT.

Properties
- ΔE_f: 89.0 kJ/mol of atoms

Unit cell a=7.378 b=7.378 c=7.378 alpha=60.00 beta=60.00 gamma=60.00
Fractional coordinates of all 6 atoms:
K: 0.376 0.376 0.376
K: 0.376 0.376 0.872
K: 0.376 0.872 0.376
K: 0.872 0.376 0.376
Y: 0.000 0.000 0.000
Cr: 0.750 0.750 0.750

Computed, not measured: crystalline KYCr2 at its relaxed geometry at the PBE level of DFT.

Properties
- Offset from the most stable computed form: 18.891 kcal/mol of atoms
- ΔE_f: 137.4 kJ/mol of atoms

Unit cell a=2.829 b=2.829 c=10.606 alpha=90.00 beta=90.00 gamma=90.00
Fractional coordinates of all 4 atoms:
K: 0.000 0.000 0.000
Y: 0.000 0.000 0.500
Cr: 0.500 0.500 0.282
Cr: 0.500 0.500 0.718

Computed, not measured: crystalline KYCr at its relaxed geometry at the PBE level of DFT.

Properties
- Offset from the most stable computed form: 6.438 kcal/mol of atoms
- ΔE_f: 96.5 kJ/mol of atoms

Unit cell a=5.703 b=5.703 c=3.317 alpha=90.00 beta=90.00 gamma=120.00
Fractional coordinates of all 3 atoms:
K: 0.000 0.000 0.000
Y: 0.667 0.333 0.361
Cr: 0.333 0.667 0.762

Computed, not measured: crystalline KYCr2 at its relaxed geometry at the PBE level of DFT.

Properties
- Offset from the most stable computed form: 13.844 kcal/mol of atoms
- ΔE_f: 116.3 kJ/mol of atoms

Unit cell a=5.305 b=5.305 c=5.305 alpha=60.00 beta=60.00 gamma=60.00
Fractional coordinates of all 4 atoms:
K: 0.000 0.000 0.000
Y: 0.750 0.750 0.750
Cr: 0.250 0.250 0.250
Cr: 0.500 0.500 0.500

Computed, not measured: crystalline KYCr at its relaxed geometry at the PBE level of DFT.

Properties
- Offset from the most stable computed form: 2.244 kcal/mol of atoms
- ΔE_f: 78.9 kJ/mol of atoms

Unit cell a=3.611 b=3.611 c=8.879 alpha=90.00 beta=90.00 gamma=120.00
Fractional coordinates of all 3 atoms:
K: 0.000 0.000 0.000
Y: 0.667 0.333 0.412
Cr: 0.333 0.667 0.659

Computed, not measured: crystalline KYCr2 at its relaxed geometry at the PBE level of DFT.

Properties
- Offset from the most stable computed form: 12.200 kcal/mol of atoms
- ΔE_f: 109.4 kJ/mol of atoms

Unit cell a=5.395 b=5.395 c=5.395 alpha=60.00 beta=60.00 gamma=60.00
Fractional coordinates of all 4 atoms:
K: 0.000 0.000 0.000
Y: 0.500 0.500 0.500
Cr: 0.250 0.250 0.250
Cr: 0.750 0.750 0.750

Computed, not measured: crystalline KYCr2 at its relaxed geometry at the PBE level of DFT.

Properties
- Offset from the most stable computed form: 9.835 kcal/mol of atoms
- ΔE_f: 99.5 kJ/mol of atoms

Unit cell a=6.184 b=6.184 c=5.838 alpha=102.87 beta=102.87 gamma=30.39
Fractional coordinates of all 4 atoms:
K: 0.000 0.000 0.000
Y: 0.204 0.204 0.623
Cr: 0.450 0.450 0.479
Cr: 0.760 0.760 0.181

Computed, not measured: crystalline KYCr2 at its relaxed geometry at the PBE level of DFT.

Properties
- Offset from the most stable computed form: 5.740 kcal/mol of atoms
- ΔE_f: 82.4 kJ/mol of atoms

Unit cell a=3.609 b=3.762 c=8.646 alpha=90.00 beta=90.15 gamma=90.00
Fractional coordinates of all 4 atoms:
K: 0.000 0.000 0.000
Y: 0.000 0.000 0.500
Cr: 0.499 0.500 0.309
Cr: 0.501 0.500 0.691

Computed, not measured: crystalline KYCr2 at its relaxed geometry at the PBE level of DFT.

Properties
- Offset from the most stable computed form: 8.035 kcal/mol of atoms
- ΔE_f: 92.0 kJ/mol of atoms

Unit cell a=5.491 b=5.491 c=7.445 alpha=93.99 beta=93.99 gamma=32.17
Fractional coordinates of all 4 atoms:
K: 0.000 0.000 0.000
Y: 0.500 0.500 0.500
Cr: 0.248 0.248 0.602
Cr: 0.752 0.752 0.398

Computed, not measured: crystalline KYCr2 at its relaxed geometry at the PBE level of DFT.

Properties
- Offset from the most stable computed form: 9.502 kcal/mol of atoms
- ΔE_f: 98.1 kJ/mol of atoms

Unit cell a=11.106 b=11.106 c=11.106 alpha=18.11 beta=18.11 gamma=18.11
Fractional coordinates of all 4 atoms:
K: 0.000 0.000 0.000
Y: 0.500 0.500 0.500
Cr: 0.239 0.239 0.239
Cr: 0.761 0.761 0.761

Computed, not measured: crystalline KYCr at its relaxed geometry at the PBE level of DFT.

Properties
- Offset from the most stable computed form: 10.375 kcal/mol of atoms
- ΔE_f: 113.0 kJ/mol of atoms

Unit cell a=5.417 b=5.417 c=5.417 alpha=60.00 beta=60.00 gamma=60.00
Fractional coordinates of all 3 atoms:
K: 0.000 0.000 0.000
Y: 0.500 0.500 0.500
Cr: 0.750 0.750 0.750

Computed, not measured: crystalline KYCr at its relaxed geometry at the PBE level of DFT.

Properties
- Offset from the most stable computed form: 0.000 kcal/mol of atoms
- ΔE_f: 69.6 kJ/mol of atoms

Unit cell a=8.223 b=8.221 c=3.605 alpha=77.37 beta=77.31 gamma=25.33
Fractional coordinates of all 3 atoms:
K: 0.000 0.000 0.000
Y: 0.274 0.274 0.726
Cr: 0.669 0.669 0.331

Number 1: M_tot 3.93 μB/cell. Number 2: M_tot 0.00 μB/cell. Number 3: M_tot 4.03 μB/cell. Number 4: M_tot 8.55 μB/cell. Number 5: M_tot 4.06 μB/cell. Number 6: M_tot 8.70 μB/cell. Number 7: M_tot 8.50 μB/cell. Number 8: M_tot 8.78 μB/cell. Number 9: M_tot 0.00 μB/cell. Number 10: M_tot 8.66 μB/cell. Number 11: M_tot 4.63 μB/cell. Number 12: M_tot 3.61 μB/cell.